The following is a DFT calculation (PBE) of a relaxed HoMg5Sn6 crystal.

## Properties
Energy relative to the elements ... -216.1 kJ/mol of formula units
Crystal system ... monoclinic
Excess energy over the best structure of this formula in the dataset ... 34 kJ/mol of formula units

Cell: 6.953 6.953 6.358 Å, 97.64 97.64 94.54°
Positions (direct):
1 Ho 0.000 0.000 0.000
2 Mg 0.164 0.836 0.500
3 Mg 0.337 0.663 0.000
4 Mg 0.500 0.500 0.500
5 Mg 0.663 0.337 0.000
6 Mg 0.836 0.164 0.500
7 Sn 0.085 0.426 0.262
8 Sn 0.254 0.254 0.749
9 Sn 0.426 0.085 0.262
10 Sn 0.574 0.915 0.738
11 Sn 0.746 0.746 0.251
12 Sn 0.915 0.574 0.738



The following is a DFT calculation (PBE) of a relaxed Te2Pd4Pb crystal.

## Properties
Crystal system ... tetragonal
Energy relative to the elements, uncorrected ... -1.7 eV per formula unit

Cell: 8.150 8.150 4.385 Å, 90.00 90.00 90.00°
Positions (direct):
1 Te 0.219 0.219 0.000
2 Te 0.281 0.719 0.500
3 Te 0.719 0.281 0.500
4 Te 0.781 0.781 0.000
5 Pd 0.103 0.642 0.000
6 Pd 0.142 0.397 0.500
7 Pd 0.358 0.897 0.000
8 Pd 0.397 0.142 0.500
9 Pd 0.603 0.858 0.500
10 Pd 0.642 0.103 0.000
11 Pd 0.858 0.603 0.500
12 Pd 0.897 0.358 0.000
13 Pb 0.000 0.000 0.500
14 Pb 0.500 0.500 0.000



The following is a DFT calculation (PBE) of a relaxed Pm4NiSe3 crystal.

## Properties
Crystal system ... monoclinic
Energy relative to the elements, uncorrected ... -11.6 eV per formula unit

Cell: 7.338 8.378 7.121 Å, 90.00 109.14 90.00°
Positions (direct):
1 Pm 0.232 0.118 0.007
2 Pm 0.232 0.882 0.507
3 Pm 0.241 0.363 0.491
4 Pm 0.241 0.637 0.991
5 Pm 0.759 0.363 0.009
6 Pm 0.759 0.637 0.509
7 Pm 0.768 0.118 0.493
8 Pm 0.768 0.882 0.993
9 Ni 0.000 0.123 0.250
10 Ni 0.000 0.877 0.750
11 Se 0.000 0.377 0.750
12 Se 0.000 0.623 0.250
13 Se 0.500 0.126 0.750
14 Se 0.500 0.381 0.250
15 Se 0.500 0.619 0.750
16 Se 0.500 0.874 0.250



The following is a DFT calculation (PBE) of a relaxed Sm3Er crystal.

## Properties
Energy relative to the elements ... 7.4 kJ/mol of formula units
Crystal system ... hexagonal
Excess energy over the best structure of this formula in the dataset ... 1 kJ/mol of formula units

Cell: 7.302 7.302 5.767 Å, 90.00 90.00 120.00°
Positions (direct):
1 Sm 0.167 0.335 0.250
2 Sm 0.167 0.833 0.250
3 Sm 0.335 0.167 0.750
4 Sm 0.665 0.833 0.250
5 Sm 0.833 0.167 0.750
6 Sm 0.833 0.665 0.750
7 Er 0.333 0.667 0.750
8 Er 0.667 0.333 0.250



The following is a DFT calculation (PBE) of a relaxed TlAgPb2 crystal.

## Properties
Energy relative to the elements ... 36.0 kJ/mol of formula units
Crystal system ... monoclinic
Excess energy over the best structure of this formula in the dataset ... 27 kJ/mol of formula units

Cell: 3.425 5.110 6.573 Å, 90.00 104.39 90.00°
Positions (direct):
1 Tl 0.000 0.000 0.000
2 Ag 0.188 0.500 0.275
3 Pb 0.388 0.500 0.763
4 Pb 0.753 0.000 0.464



The following is a DFT calculation (PBE) of a relaxed SrIn crystal.

## Properties
Energy relative to the elements ... -66.2 kJ/mol of formula units
Crystal system ... monoclinic

Cell: 7.769 7.769 7.022 Å, 116.86 116.86 35.68°
Positions (direct):
1 Sr 0.000 0.000 0.000
2 Sr 0.302 0.302 0.530
3 Sr 0.604 0.604 0.604
4 In 0.303 0.303 0.031
5 In 0.686 0.686 0.147
6 In 0.918 0.918 0.379



The following is a DFT calculation (PBE) of a relaxed BeRe2Au crystal.

## Properties
Energy relative to the elements ... 126.3 kJ/mol of formula units
Crystal system ... monoclinic

Cell: 4.609 4.609 4.876 Å, 97.39 97.39 34.98°
Positions (direct):
1 Be 0.000 0.000 0.000
2 Re 0.493 0.493 0.455
3 Re 0.744 0.744 0.267
4 Au 0.244 0.244 0.784



The following is a DFT calculation (PBE) of a relaxed La5As4S crystal.

## Properties
Crystal system ... tetragonal
Energy relative to the elements, uncorrected ... -17.1 eV per formula unit
Excess energy over the best structure of this formula in the dataset ... 7 kJ/mol of formula units

Cell: 15.638 15.638 15.638 Å, 164.05 164.05 22.63°
Positions (direct):
1 La 0.000 0.000 0.000
2 La 0.200 0.200 0.000
3 La 0.400 0.400 0.000
4 La 0.600 0.600 0.000
5 La 0.800 0.800 0.000
6 As 0.098 0.098 0.000
7 As 0.301 0.301 0.000
8 As 0.699 0.699 0.000
9 As 0.902 0.902 0.000
10 S 0.500 0.500 0.000



The following is a DFT calculation (PBE) of a relaxed AcB2Pb2O7 crystal.

## Properties
Crystal system ... trigonal
Energy relative to the elements, uncorrected ... -24.9 eV per formula unit

Cell: 10.467 10.467 10.467 Å, 29.74 29.74 29.74°
Positions (direct):
1 Ac 0.000 0.000 0.000
2 B 0.279 0.279 0.279
3 B 0.721 0.721 0.721
4 Pb 0.428 0.428 0.428
5 Pb 0.572 0.572 0.572
6 O 0.033 0.258 0.549
7 O 0.258 0.549 0.033
8 O 0.451 0.742 0.967
9 O 0.500 0.500 0.500
10 O 0.549 0.033 0.258
11 O 0.742 0.967 0.451
12 O 0.967 0.451 0.742



The following is a DFT calculation (PBE) of a relaxed Tm5Sc4Tl crystal.

## Properties
Energy relative to the elements ... -23.2 kJ/mol of formula units
Crystal system ... tetragonal

Cell: 3.444 3.444 22.906 Å, 90.00 90.00 90.00°
Positions (direct):
1 Tm 0.000 0.000 0.000
2 Tm 0.000 0.000 0.202
3 Tm 0.000 0.000 0.404
4 Tm 0.000 0.000 0.596
5 Tm 0.000 0.000 0.798
6 Sc 0.500 0.500 0.101
7 Sc 0.500 0.500 0.304
8 Sc 0.500 0.500 0.696
9 Sc 0.500 0.500 0.899
10 Tl 0.500 0.500 0.500



The following is a DFT calculation (PBE) of a relaxed Cs2RbTlCl5 crystal.

## Properties
Crystal system ... orthorhombic
Energy relative to the elements, uncorrected ... -14.0 eV per formula unit

Cell: 10.051 10.051 14.019 Å, 90.00 90.00 150.59°
Positions (direct):
1 Cs 0.110 0.890 0.500
2 Cs 0.146 0.854 0.121
3 Cs 0.854 0.146 0.621
4 Cs 0.890 0.110 0.000
5 Rb 0.211 0.789 0.827
6 Rb 0.789 0.211 0.327
7 Tl 0.474 0.526 0.258
8 Tl 0.526 0.474 0.758
9 Cl 0.036 0.964 0.819
10 Cl 0.285 0.715 0.477
11 Cl 0.335 0.665 0.183
12 Cl 0.380 0.620 0.809
13 Cl 0.485 0.515 0.576
14 Cl 0.515 0.485 0.076
15 Cl 0.620 0.380 0.309
16 Cl 0.665 0.335 0.683
17 Cl 0.715 0.285 0.977
18 Cl 0.964 0.036 0.319



The following is a DFT calculation (PBE) of a relaxed MgNbCl crystal.

## Properties
Crystal system ... orthorhombic
Energy relative to the elements, uncorrected ... -1.4 eV per formula unit
Excess energy over the best structure of this formula in the dataset ... 45 kJ/mol of formula units

Cell: 3.379 10.955 10.955 Å, 18.90 90.00 90.00°
Positions (direct):
1 Mg 0.000 0.000 0.000
2 Mg 0.500 0.417 0.417
3 Nb 0.000 0.844 0.844
4 Nb 0.500 0.281 0.281
5 Cl 0.000 0.192 0.192
6 Cl 0.500 0.553 0.553



The following is a DFT calculation (PBE) of a relaxed SmPaPt crystal.

## Properties
Energy relative to the elements ... -97.2 kJ/mol of formula units
Crystal system ... trigonal

Cell: 4.766 4.766 3.634 Å, 90.00 90.00 120.00°
Positions (direct):
1 Sm 0.000 0.000 0.000
2 Pa 0.333 0.667 0.631
3 Pt 0.667 0.333 0.403



The following is a DFT calculation (PBE) of a relaxed SrTbMg2Au4 crystal.

## Properties
Energy relative to the elements ... -544.0 kJ/mol of formula units
Crystal system ... trigonal

Cell: 9.945 9.945 9.945 Å, 27.55 27.55 27.55°
Positions (direct):
1 Sr 0.000 0.000 0.000
2 Tb 0.500 0.500 0.500
3 Mg 0.243 0.243 0.243
4 Mg 0.757 0.757 0.757
5 Au 0.117 0.117 0.117
6 Au 0.397 0.397 0.397
7 Au 0.603 0.603 0.603
8 Au 0.883 0.883 0.883



The following is a DFT calculation (PBE) of a relaxed La6C3S2Cl crystal.

## Properties
Crystal system ... monoclinic
Energy relative to the elements, uncorrected ... -13.0 eV per formula unit

Cell: 9.180 9.180 8.286 Å, 106.46 106.46 24.96°
Positions (direct):
1 La 0.010 0.010 0.221
2 La 0.323 0.323 0.437
3 La 0.339 0.339 0.901
4 La 0.661 0.661 0.099
5 La 0.677 0.677 0.563
6 La 0.990 0.990 0.779
7 C 0.167 0.167 0.332
8 C 0.500 0.500 0.000
9 C 0.833 0.833 0.668
10 S 0.164 0.164 0.827
11 S 0.836 0.836 0.173
12 Cl 0.500 0.500 0.500



Respective E values: -3.234; -4.635; -5.852; -4.661; -3.065; -2.553; -7.648; -6.444; -7.043; -5.029; -3.145; -4.961; -7.088; -3.531; -6.692 eV/atom.
Respective total magnetization values: 0.0; 0.0; 0.0; 0.0; 0.0; 0.0; 0.0; 0.0; 1.0; 0.0; 0.0; 0.0; 0.0; 0.0; 0.0 μB/f.u..
Respective volume values: 300.4; 291.3; 413.6; 266.3; 111.4; 217.6; 58.8; 288.7; 249.9; 271.6; 695.3; 131.3; 71.5; 185.8; 282.0 Å³ per cell.